# SrYP2

A relaxed SrYP2 crystal (PBEsol, Alexandria via LeMat-Bulk).

abc: 5.231 5.231 3.169
angles: 90.34 90.34 89.99
Sites, in units of the cell vectors:
Sr1 0.000 0.000 0.000
Y1 0.500 0.500 0.000
P1 0.000 0.500 0.500
P2 0.500 0.000 0.500

Properties
- raw total energy (eV per atom) = -5.9615
- distance to the lowest polymorph of the same formula (meV/atom) = 0.0
- density of states at the Fermi level (states/eV/cell) = 1.888
- calculated density (g cm⁻³) = 4.57
- symmetry = C2/m (12)



# Ca2NiAg

A relaxed Ca2NiAg crystal (PBEsol, Alexandria via LeMat-Bulk).

abc: 4.239 5.747 5.747
angles: 41.65 90.00 90.00
Sites, in units of the cell vectors:
Ca1 0.000 0.000 0.000
Ca2 0.500 0.285 0.285
Ni1 0.000 0.711 0.711
Ag1 0.500 0.578 0.578

Properties
- raw total energy (eV per atom) = -3.5775
- density of states at the Fermi level (states/eV/cell) = 1.917
- calculated density (g cm⁻³) = 4.40
- symmetry = Amm2 (38)



# GaPb3

A relaxed GaPb3 crystal (PBEsol, Alexandria via LeMat-Bulk).

abc: 6.661 6.661 5.650
angles: 90.00 90.00 120.00
Sites, in units of the cell vectors:
Ga1 0.333 0.667 0.250
Ga2 0.667 0.333 0.750
Pb1 0.169 0.338 0.750
Pb2 0.169 0.831 0.750
Pb3 0.338 0.169 0.250
Pb4 0.662 0.831 0.750
Pb5 0.831 0.169 0.250
Pb6 0.831 0.662 0.250

Properties
- raw total energy (eV per atom) = -3.7558
- distance to the lowest polymorph of the same formula (meV/atom) = 14.1
- density of states at the Fermi level (states/eV/cell) = 4.837
- calculated density (g cm⁻³) = 10.58
- symmetry = P6_3/mmc (194)



# LiCd2Pt

A relaxed LiCd2Pt crystal (PBEsol, Alexandria via LeMat-Bulk).

abc: 4.625 4.625 4.625
angles: 122.53 122.53 85.67
Sites, in units of the cell vectors:
Li1 0.000 0.000 0.000
Cd1 0.250 0.750 0.500
Cd2 0.750 0.250 0.500
Pt1 0.500 0.500 0.000

Properties
- raw total energy (eV per atom) = -3.2570
- distance to the lowest polymorph of the same formula (meV/atom) = 0.0
- density of states at the Fermi level (states/eV/cell) = 1.301
- calculated density (g cm⁻³) = 10.57
- symmetry = I4/mmm (139)



Number 1: DFT formation energy -0.900 eV/atom, magnetization 0.03 μB/cell. Number 2: DFT formation energy -0.144 eV/atom, magnetization 0.00 μB/cell. Number 3: DFT formation energy 0.078 eV/atom, magnetization 0.00 μB/cell. Number 4: DFT formation energy -0.426 eV/atom, magnetization 0.00 μB/cell.